No. 1
Density functional theory data (PBE-GGA) for a relaxed structure of CaSc2AgH.

The structure in extended XYZ format:
```
5
Lattice="4.3946 0.0000 0.0000 0.0000 4.3946 0.0000 0.0000 0.0000 5.0955" Properties=species:S:1:pos:R:3 pbc="T T T"
Ca 0.0000 0.0000 0.0000
Sc 0.0000 2.1973 2.5478
Sc 2.1973 0.0000 2.5478
Ag 2.1973 2.1973 0.0000
H 0.0000 0.0000 2.5478
```

Values from the calculation:
For the density, the calculation gives 4.031 g cm⁻³. For the magnetization, the calculation gives 0.301 μB/atom. The calculation puts the density of states at the Fermi level at 0.889 states/eV per atom. For the electronic total energy, the calculation gives -4.30 eV per atom. The calculated volume comes out at 98.4 Å³/cell. The crystal system is tetragonal. As for the symmetry: P4/mmm.

***

No. 2
Density functional theory data (PBE-GGA) for a relaxed structure of CaAg2SnH.

The structure in extended XYZ format:
```
5
Lattice="4.5528 0.0000 0.0000 0.0000 4.5528 0.0000 0.0000 0.0000 4.4655" Properties=species:S:1:pos:R:3 pbc="T T T"
Ca 0.0000 0.0000 0.0000
Ag 0.0000 2.2764 2.2328
Ag 2.2764 0.0000 2.2328
Sn 2.2764 2.2764 0.0000
H 0.0000 0.0000 2.2328
```

Values from the calculation:
For the density, the calculation gives 6.737 g cm⁻³. For the magnetization, the calculation gives 0.000 μB/atom. The calculation puts the density of states at the Fermi level at 0.373 states/eV per atom. For the electronic total energy, the calculation gives -3.14 eV per atom. The calculated volume comes out at 92.6 Å³/cell. The crystal system is tetragonal. As for the symmetry: P4/mmm.

***

No. 3
Density functional theory data (PBE-GGA) for a relaxed structure of Sr2CaAgH.

The structure in extended XYZ format:
```
5
Lattice="5.4779 0.0000 0.0000 0.0000 5.4779 0.0000 0.0000 0.0000 4.7445" Properties=species:S:1:pos:R:3 pbc="T T T"
Sr 0.0000 2.7389 0.0000
Sr 2.7389 0.0000 0.0000
Ca 0.0000 0.0000 2.3722
Ag 2.7389 2.7389 2.3722
H 0.0000 0.0000 0.0000
```

Values from the calculation:
For the density, the calculation gives 3.781 g cm⁻³. For the magnetization, the calculation gives 0.000 μB/atom. The calculation puts the density of states at the Fermi level at 0.250 states/eV per atom. For the electronic total energy, the calculation gives -2.49 eV per atom. The calculated volume comes out at 142.4 Å³/cell. The crystal system is tetragonal. As for the symmetry: P4/mmm.

***

No. 4
Density functional theory data (PBE-GGA) for a relaxed structure of Ca2TlAgH.

The structure in extended XYZ format:
```
5
Lattice="5.2239 0.0000 0.0000 0.0000 5.2239 0.0000 0.0000 0.0000 3.9877" Properties=species:S:1:pos:R:3 pbc="T T T"
Ca 0.0000 2.6120 0.0000
Ca 2.6120 0.0000 0.0000
Tl 0.0000 0.0000 1.9939
Ag 2.6120 2.6120 1.9939
H 2.6120 2.6120 0.0000
```

Values from the calculation:
For the density, the calculation gives 6.003 g cm⁻³. For the magnetization, the calculation gives 0.000 μB/atom. The calculation puts the density of states at the Fermi level at 0.131 states/eV per atom. For the electronic total energy, the calculation gives -2.86 eV per atom. The calculated volume comes out at 108.8 Å³/cell. The crystal system is tetragonal. As for the symmetry: P4/mmm.

***

No. 5
Density functional theory data (PBE-GGA) for a relaxed structure of CaTlAg2H.

The structure in extended XYZ format:
```
5
Lattice="4.6052 0.0000 0.0000 0.0000 4.6052 0.0000 0.0000 0.0000 4.4955" Properties=species:S:1:pos:R:3 pbc="T T T"
Ca 0.0000 0.0000 0.0000
Tl 2.3026 2.3026 0.0000
Ag 0.0000 2.3026 2.2478
Ag 2.3026 0.0000 2.2478
H 0.0000 0.0000 2.2478
```

Values from the calculation:
For the density, the calculation gives 8.033 g cm⁻³. For the magnetization, the calculation gives 0.000 μB/atom. The calculation puts the density of states at the Fermi level at 0.255 states/eV per atom. For the electronic total energy, the calculation gives -2.74 eV per atom. The calculated volume comes out at 95.3 Å³/cell. The crystal system is tetragonal. As for the symmetry: P4/mmm.

***

No. 6
Density functional theory data (PBE-GGA) for a relaxed structure of Ca2YAgH.

The structure in extended XYZ format:
```
5
Lattice="5.1259 0.0000 0.0000 0.0000 5.1259 0.0000 0.0000 0.0000 4.5301" Properties=species:S:1:pos:R:3 pbc="T T T"
Ca 0.0000 2.5629 0.0000
Ca 2.5629 0.0000 0.0000
Y 0.0000 0.0000 2.2651
Ag 2.5629 2.5629 2.2651
H 0.0000 0.0000 0.0000
```

Values from the calculation:
For the density, the calculation gives 3.878 g cm⁻³. For the magnetization, the calculation gives 0.000 μB/atom. The calculation puts the density of states at the Fermi level at 0.886 states/eV per atom. For the electronic total energy, the calculation gives -3.47 eV per atom. The calculated volume comes out at 119.0 Å³/cell. The crystal system is tetragonal. As for the symmetry: P4/mmm.

***

No. 7
Density functional theory data (PBE-GGA) for a relaxed structure of Ca2ZnAgH.

The structure in extended XYZ format:
```
5
Lattice="5.0984 0.0000 0.0000 0.0000 5.0984 0.0000 0.0000 0.0000 3.9106" Properties=species:S:1:pos:R:3 pbc="T T T"
Ca 0.0000 2.5492 0.0000
Ca 2.5492 0.0000 0.0000
Zn 0.0000 0.0000 1.9553
Ag 2.5492 2.5492 1.9553
H 2.5492 2.5492 0.0000
```

Values from the calculation:
For the density, the calculation gives 4.157 g cm⁻³. For the magnetization, the calculation gives 0.000 μB/atom. The calculation puts the density of states at the Fermi level at 0.649 states/eV per atom. For the electronic total energy, the calculation gives -2.54 eV per atom. The calculated volume comes out at 101.6 Å³/cell. The crystal system is tetragonal. As for the symmetry: P4/mmm.

***

No. 8
Density functional theory data (PBE-GGA) for a relaxed structure of Ca2ZnAgH.

The structure in extended XYZ format:
```
5
Lattice="4.9531 0.0000 0.0000 0.0000 4.9531 0.0000 0.0000 0.0000 4.0276" Properties=species:S:1:pos:R:3 pbc="T T T"
Ca 0.0000 2.4766 0.0000
Ca 2.4766 0.0000 0.0000
Zn 0.0000 0.0000 2.0138
Ag 2.4766 2.4766 2.0138
H 0.0000 0.0000 0.0000
```

Values from the calculation:
For the density, the calculation gives 4.276 g cm⁻³. For the magnetization, the calculation gives 0.000 μB/atom. The calculation puts the density of states at the Fermi level at 0.384 states/eV per atom. For the electronic total energy, the calculation gives -2.55 eV per atom. The calculated volume comes out at 98.8 Å³/cell. The crystal system is tetragonal. As for the symmetry: P4/mmm.

***

No. 9
Density functional theory data (PBE-GGA) for a relaxed structure of CaHfAg2.

The structure in extended XYZ format:
```
4
Lattice="3.4788 0.0000 0.0000 0.0000 3.4788 0.0000 0.0000 0.0000 7.3922" Properties=species:S:1:pos:R:3 pbc="T T T"
Ca 0.0000 0.0000 0.0000
Hf 0.0000 0.0000 3.6961
Ag 1.7394 1.7394 2.1017
Ag 1.7394 1.7394 5.2905
```

Values from the calculation:
For the density, the calculation gives 8.061 g cm⁻³. For the magnetization, the calculation gives 0.097 μB/atom. The calculation puts the density of states at the Fermi level at 0.590 states/eV per atom. For the electronic total energy, the calculation gives -4.49 eV per atom. As for the energy of formation: -30 kJ/mol of formula units. The calculated volume comes out at 89.5 Å³/cell. The crystal system is tetragonal. As for the symmetry: P4/mmm.

***

No. 10
Density functional theory data (PBE-GGA) for a relaxed structure of Ca3HfAg.

The structure in extended XYZ format:
```
5
Lattice="5.9225 0.0000 0.0000 0.0000 5.9225 0.0000 0.0000 0.0000 5.9225" Properties=species:S:1:pos:R:3 pbc="T T T"
Ca 0.0000 0.0000 2.9612
Ca 0.0000 2.9612 0.0000
Ca 2.9612 0.0000 0.0000
Hf 0.0000 0.0000 0.0000
Ag 2.9612 2.9612 2.9612
```

Values from the calculation:
For the density, the calculation gives 3.250 g cm⁻³. For the magnetization, the calculation gives 0.611 μB/atom. The calculation puts the density of states at the Fermi level at 1.173 states/eV per atom. For the electronic total energy, the calculation gives -2.70 eV per atom. As for the energy of formation: 512 kJ/mol of formula units. The calculated volume comes out at 207.7 Å³/cell. The crystal system is cubic. As for the symmetry: Pm-3m.

***

No. 11
Density functional theory data (PBE-GGA) for a relaxed structure of Ca2HfAg.

The structure in extended XYZ format:
```
4
Lattice="0.0000 3.7996 3.7996 3.7996 0.0000 3.7996 3.7996 3.7996 0.0000" Properties=species:S:1:pos:R:3 pbc="T T T"
Ca 1.8998 1.8998 1.8998
Ca 5.6995 5.6995 5.6995
Hf 0.0000 0.0000 0.0000
Ag 3.7996 3.7996 3.7996
```

Values from the calculation:
For the density, the calculation gives 5.547 g cm⁻³. For the magnetization, the calculation gives 0.000 μB/atom. The calculation puts the density of states at the Fermi level at 1.248 states/eV per atom. For the electronic total energy, the calculation gives -3.73 eV per atom. As for the energy of formation: 184 kJ/mol of formula units. The calculated volume comes out at 109.7 Å³/cell. The crystal system is cubic. As for the symmetry: Fm-3m.

***

No. 12
Density functional theory data (PBE-GGA) for a relaxed structure of Ca2HfAg2.

The structure in extended XYZ format:
```
10
Lattice="7.3647 0.0000 0.0000 0.0000 7.3647 0.0000 0.0000 0.0000 4.7664" Properties=species:S:1:pos:R:3 pbc="T T T"
Ca 1.2739 2.4084 0.0000
Ca 2.4084 6.0908 0.0000
Ca 4.9563 1.2739 0.0000
Ca 6.0908 4.9563 0.0000
Hf 0.0000 0.0000 2.3832
Hf 3.6823 3.6823 2.3832
Ag 0.9938 4.6761 2.3832
Ag 2.6886 0.9938 2.3832
Ag 4.6761 6.3709 2.3832
Ag 6.3709 2.6886 2.3832
```

Values from the calculation:
For the density, the calculation gives 6.094 g cm⁻³. For the magnetization, the calculation gives 0.000 μB/atom. The calculation puts the density of states at the Fermi level at 0.745 states/eV per atom. For the electronic total energy, the calculation gives -3.91 eV per atom. As for the energy of formation: 12 kJ/mol of formula units. The calculated volume comes out at 258.5 Å³/cell. The crystal system is tetragonal. As for the symmetry: P4/mbm.

***

No. 13
Density functional theory data (PBE-GGA) for a relaxed structure of CaHf2Ag.

The structure in extended XYZ format:
```
8
Lattice="-4.1403 4.1403 2.9558 4.1403 -4.1403 2.9558 4.1403 4.1403 -2.9558" Properties=species:S:1:pos:R:3 pbc="T T T"
Ca 0.0000 0.0000 0.0000
Ca 0.0000 4.1403 1.4779
Hf 2.0701 -1.6282 2.2168
Hf 2.5121 2.0701 0.7389
Hf 2.0701 5.7684 -0.7389
Hf 1.6282 2.0701 3.6947
Ag 4.1403 0.0000 1.4779
Ag 0.0000 0.0000 2.9558
```

Values from the calculation:
For the density, the calculation gives 8.274 g cm⁻³. For the magnetization, the calculation gives 0.000 μB/atom. The calculation puts the density of states at the Fermi level at 0.917 states/eV per atom. For the electronic total energy, the calculation gives -5.64 eV per atom. As for the energy of formation: 213 kJ/mol of formula units. The calculated volume comes out at 202.7 Å³/cell. The crystal system is tetragonal. As for the symmetry: I-42d.

***

No. 14
Density functional theory data (PBE-GGA) for a relaxed structure of CaHfAg2.

The structure in extended XYZ format:
```
8
Lattice="-3.8681 3.8681 3.3632 3.8681 -3.8681 3.3632 3.8681 3.8681 -3.3632" Properties=species:S:1:pos:R:3 pbc="T T T"
Ca 0.0000 0.0000 0.0000
Ca 0.0000 3.8681 1.6816
Hf 3.8681 0.0000 1.6816
Hf 0.0000 0.0000 3.3632
Ag 1.9340 -1.7344 2.5224
Ag 2.1337 1.9340 0.8408
Ag 1.9340 5.6024 -0.8408
Ag 1.7344 1.9340 4.2041
```

Values from the calculation:
For the density, the calculation gives 7.166 g cm⁻³. For the magnetization, the calculation gives 0.136 μB/atom. The calculation puts the density of states at the Fermi level at 1.123 states/eV per atom. For the electronic total energy, the calculation gives -4.02 eV per atom. As for the energy of formation: 154 kJ/mol of formula units. The calculated volume comes out at 201.3 Å³/cell. The crystal system is tetragonal. As for the symmetry: I-42d.